# Y2CoCl

A geometry-optimized Y2CoCl structure (PBE-GGA, Alexandria via LeMat-Bulk).

The structure in POSCAR format:
```
Y2CoCl
1.0
6.2238 0.0000 0.0000
0.0000 6.2238 0.0000
3.1119 3.1119 5.9314
Y Co Cl
4 2 2
direct
0.8750 0.9180 0.7500
0.0820 0.6250 0.2500
0.3750 0.3320 0.7500
0.6680 0.1250 0.2500
0.7500 0.2500 0.5000
0.0000 0.0000 0.0000
0.2500 0.7500 0.5000
0.5000 0.5000 0.0000
```

## Properties
Relative energy among the computed polymorphs, eV/atom: 0.481